(1)
Below is an optimized crystal structure of SbAuI2O, with properties calculated at the PBEsol level.

Calculated values
Crystal system   tetragonal
Formation energy (no corrections)   0.46 eV per atom
Calculated volume   24.32 A^3/atom

abc: 5.3465 5.3465 4.2534
angles: 90.00 90.00 90.00
Closest atoms and distances in Å follow each position.
Fractional coordinates of all 5 atoms:
Sb  0.0000  0.0000  0.0000  2 O 2.13
Au  0.5000  0.5000  0.0000  8 I 3.42, 4 Sb 3.78
I  0.0000  0.5000  0.5000  2 O 2.67
I  0.5000  0.0000  0.5000  2 O 2.67
O  0.0000  0.0000  0.5000  2 Sb 2.13

(2)
Below is an optimized crystal structure of AuSeI2O, with properties calculated at the PBEsol level.

Calculated values
Crystal system   tetragonal
Formation energy (no corrections)   0.28 eV per atom
Calculated volume   23.74 A^3/atom

abc: 5.6228 5.6228 3.7543
angles: 90.00 90.00 90.00
Closest atoms and distances in Å follow each position.
Fractional coordinates of all 5 atoms:
Au  0.0000  0.0000  0.0000  8 I 3.38, 2 Au 3.75
Se  0.5000  0.5000  0.5000  2 O 1.88
I  0.0000  0.5000  0.5000  2 Se 2.81
I  0.5000  0.0000  0.5000  2 Se 2.81
O  0.5000  0.5000  0.0000  2 Se 1.88

(3)
Below is an optimized crystal structure of SrAuIO2, with properties calculated at the PBEsol level.

Calculated values
Crystal system   tetragonal
Formation energy (no corrections)   -0.15 eV per atom
Calculated volume   26.64 A^3/atom

abc: 4.3796 4.3796 6.9448
angles: 90.00 90.00 90.00
Closest atoms and distances in Å follow each position.
Fractional coordinates of all 5 atoms:
Sr  0.0000  0.0000  0.0000  4 O 2.19
Au  0.5000  0.5000  0.5000  4 I 3.10
I  0.0000  0.0000  0.5000  4 Au 3.10
O  0.0000  0.5000  0.0000  2 Sr 2.19
O  0.5000  0.0000  0.0000  2 Sr 2.19

(4)
Below is an optimized crystal structure of TeAuI2O, with properties calculated at the PBEsol level.

Calculated values
Crystal system   tetragonal
Formation energy (no corrections)   0.33 eV per atom
Calculated volume   25.51 A^3/atom

abc: 5.7158 5.7158 3.9038
angles: 90.00 90.00 90.00
Closest atoms and distances in Å follow each position.
Fractional coordinates of all 5 atoms:
Te  0.0000  0.0000  0.0000  8 I 3.46
Au  0.5000  0.5000  0.5000  2 O 1.95
I  0.0000  0.5000  0.5000  2 Au 2.86
I  0.5000  0.0000  0.5000  2 Au 2.86
O  0.5000  0.5000  0.0000  2 Au 1.95

(5)
Below is an optimized crystal structure of TlAuIO2, with properties calculated at the PBEsol level.

Calculated values
Crystal system   tetragonal
Formation energy (no corrections)   0.30 eV per atom
Calculated volume   22.72 A^3/atom

abc: 4.0652 4.0652 6.8728
angles: 90.00 90.00 90.00
Closest atoms and distances in Å follow each position.
Fractional coordinates of all 5 atoms:
Tl  0.0000  0.0000  0.0000  4 O 2.03
Au  0.5000  0.5000  0.5000  4 I 2.87
I  0.0000  0.0000  0.5000  4 Au 2.87
O  0.0000  0.5000  0.0000  2 Tl 2.03
O  0.5000  0.0000  0.0000  2 Tl 2.03

(6)
Below is an optimized crystal structure of Y2AuIO, with properties calculated at the PBEsol level.

Calculated values
Crystal system   tetragonal
Formation energy (no corrections)   0.69 eV per atom
Calculated volume   30.62 A^3/atom

abc: 5.5353 5.5353 4.9968
angles: 90.00 90.00 90.00
Closest atoms and distances in Å follow each position.
Fractional coordinates of all 5 atoms:
Y  0.0000  0.5000  0.0000  2 I 2.77
Y  0.5000  0.0000  0.0000  2 I 2.77
Au  0.0000  0.0000  0.5000  2 I 2.50
I  0.0000  0.0000  0.0000  2 Au 2.50, 4 Y 2.77
O  0.5000  0.5000  0.5000  8 Y 3.73, 4 Au 3.91

(7)
Below is an optimized crystal structure of OsAuI3, with properties calculated at the PBEsol level.

Calculated values
Crystal system   cubic
Formation energy (no corrections)   0.97 eV per atom
Calculated volume   29.37 A^3/atom

abc: 5.2761 5.2761 5.2761
angles: 90.00 90.00 90.00
Closest atoms and distances in Å follow each position.
Fractional coordinates of all 5 atoms:
Os  0.0000  0.0000  0.0000  6 I 2.64
Au  0.5000  0.5000  0.5000  12 I 3.73
I  0.0000  0.0000  0.5000  2 Os 2.64
I  0.0000  0.5000  0.0000  2 Os 2.64
I  0.5000  0.0000  0.0000  2 Os 2.64

(8)
Below is an optimized crystal structure of SbOsAuI2, with properties calculated at the PBEsol level.

Calculated values
Crystal system   tetragonal
Formation energy (no corrections)   0.95 eV per atom
Calculated volume   28.73 A^3/atom

abc: 5.3823 5.3823 4.9591
angles: 90.00 90.00 90.00
Closest atoms and distances in Å follow each position.
Fractional coordinates of all 5 atoms:
Sb  0.0000  0.0000  0.0000  2 Os 2.48
Os  0.0000  0.0000  0.5000  2 Sb 2.48, 4 I 2.69
Au  0.5000  0.5000  0.0000  8 I 3.66, 4 Sb 3.81
I  0.0000  0.5000  0.5000  2 Os 2.69
I  0.5000  0.0000  0.5000  2 Os 2.69

no.,raw total energy (eV per atom)
1,-2.9936
2,-3.0312
3,-3.7533
4,-2.9144
5,-3.4635
6,-4.2288
7,-3.3219
8,-3.8925